1.
First-principles (PBE) data for SrRu after structural relaxation, as listed in Alexandria.

Properties
symmetry = No. 8
E_form = 0.408 eV per atom

Cell lengths 6.1539, 6.1539, 7.7597 Å; angles 96.85, 96.85, 36.72 degrees
Last column: nearest neighbours and their distance in Å.
Element x y z (fractional)
1 Sr 0.0000 0.0000 0.0000  4 Ru 3.14-3.33, 1 Sr 3.43
2 Sr 0.0599 0.0599 0.5787  5 Ru 3.23-3.32, 1 Sr 3.43
3 Sr 0.7718 0.7718 0.3143  4 Ru 3.25-3.35
4 Ru 0.2664 0.2664 0.9780  3 Ru 2.44-2.70
5 Ru 0.3436 0.3436 0.6640  3 Ru 2.45-2.70
6 Ru 0.7523 0.7523 0.7846  4 Ru 2.44-2.45



2.
First-principles (PBE) data for Rb2TmTe2S6 after structural relaxation, as listed in Alexandria.

Properties
symmetry = No. 12
uncorrected formation energy = -0.731 eV per atom

Cell lengths 6.6468, 6.6468, 8.8869 Å; angles 105.95, 105.95, 68.80 degrees
Last column: nearest neighbours and their distance in Å.
Element x y z (fractional)
1 Rb 0.1945 0.1945 0.1209  7 S 3.27-3.52
2 Rb 0.8055 0.8055 0.8791  7 S 3.27-3.52
3 Tm 0.0000 0.0000 0.5000  6 S 2.72-2.73
4 Te 0.4170 0.4170 0.7501  3 S 2.34-2.51
5 Te 0.5830 0.5830 0.2499  3 S 2.34-2.51
6 S 0.1764 0.7407 0.2414  1 Te 2.51, 1 Tm 2.73
7 S 0.2491 0.2491 0.5053  1 Te 2.34
8 S 0.2593 0.8236 0.7586  1 Te 2.51, 1 Tm 2.73
9 S 0.7407 0.1764 0.2414  1 Te 2.51, 1 Tm 2.73
10 S 0.7509 0.7509 0.4947  1 Te 2.34
11 S 0.8236 0.2593 0.7586  1 Te 2.51, 1 Tm 2.73



Results for V: 58.1; 345.2 (in Å³/f.u., following the order of the records).